1.
First-principles (PBE-GGA) data for a geometry-optimized CsPaBi structure, as listed in Alexandria.

Structure (CIF):
```
data_CsPaBi
_chemical_formula_sum 'Cs4 Pa4 Bi4'
_space_group_name_H-M_alt 'C 1 2/m 1'
_space_group_IT_number 12
_space_group_name_Hall '-C 2y'
_cell_length_a 10.055
_cell_length_b 3.967
_cell_length_c 14.327
_cell_angle_alpha 90.00
_cell_angle_beta 99.66
_cell_angle_gamma 90.00
loop_
_atom_site_label
_atom_site_fract_x
_atom_site_fract_y
_atom_site_fract_z
Cs1 0.173 0.000 0.179
Pa1 0.159 0.500 0.469
Bi1 0.077 0.000 0.641
```

## Properties
N(E_F), states/eV/f.u.: 4.676
ΔE_f, meV per atom: -96
Calculated total energy, eV per cell: -58.07
Magnetization, μB per cell: 0.02


2.
First-principles (PBE-GGA) data for a geometry-optimized Dy3As2Rh9Au structure, as listed in Alexandria.

Structure (CIF):
```
data_Dy3As2Rh9Au
_chemical_formula_sum 'Dy3 As2 Rh9 Au1'
_space_group_name_H-M_alt 'P -3 m 1'
_space_group_IT_number 164
_space_group_name_Hall '-P 3 2"'
_cell_length_a 6.2280
_cell_length_b 6.2280
_cell_length_c 9.4045
_cell_angle_alpha 90.00
_cell_angle_beta 90.00
_cell_angle_gamma 120.00
loop_
_atom_site_label
_atom_site_fract_x
_atom_site_fract_y
_atom_site_fract_z
Dy1 0.0000 0.0000 0.0000
Dy2 0.3333 0.6667 0.7424
As1 0.3333 0.6667 0.1700
Rh1 0.0000 0.5000 0.0000
Rh2 0.1398 0.2796 0.2632
Au1 0.0000 0.0000 0.5000
```

## Properties
N(E_F), states/eV/f.u.: 15.511
ΔE_f, meV per atom: -318
Calculated total energy, eV per cell: -97.32
Magnetization, μB per cell: 0.00


3.
First-principles (PBE-GGA) data for a geometry-optimized NiPbICl2 structure, as listed in Alexandria.

Structure (CIF):
```
data_NiPbICl2
_chemical_formula_sum 'Ni1 Pb1 I1 Cl2'
_space_group_name_H-M_alt 'P 4/m m m'
_space_group_IT_number 123
_space_group_name_Hall '-P 4 2'
_cell_length_a 5.103
_cell_length_b 5.103
_cell_length_c 5.144
_cell_angle_alpha 90.00
_cell_angle_beta 90.00
_cell_angle_gamma 90.00
loop_
_atom_site_label
_atom_site_fract_x
_atom_site_fract_y
_atom_site_fract_z
Ni1 0.000 0.000 0.000
Pb1 0.000 0.000 0.500
I1 0.500 0.500 0.000
Cl1 0.000 0.500 0.500
```

## Properties
N(E_F), states/eV/f.u.: 5.944
Calculated total energy, eV per cell: -13.19
Magnetization, μB per cell: 0.98
ΔE_f (raw), meV per atom: 308


4.
First-principles (PBE-GGA) data for a geometry-optimized PmNdZnBi structure, as listed in Alexandria.

Structure (CIF):
```
data_PmNdZnBi
_chemical_formula_sum 'Pm4 Nd4 Zn4 Bi4'
_space_group_name_H-M_alt 'F -4 3 m'
_space_group_IT_number 216
_space_group_name_Hall 'F -4 2 3'
_cell_length_a 7.666
_cell_length_b 7.666
_cell_length_c 7.666
_cell_angle_alpha 90.00
_cell_angle_beta 90.00
_cell_angle_gamma 90.00
loop_
_atom_site_label
_atom_site_fract_x
_atom_site_fract_y
_atom_site_fract_z
Pm1 0.000 0.000 0.000
Nd1 0.000 0.000 0.500
Zn1 0.250 0.250 0.750
Bi1 0.250 0.250 0.250
```

## Properties
N(E_F), states/eV/f.u.: 2.510
ΔE_f, meV per atom: -460
Calculated total energy, eV per cell: -66.05
Magnetization, μB per cell: 0.00


5.
First-principles (PBE-GGA) data for a geometry-optimized LiTh3Se6 structure, as listed in Alexandria.

Structure (CIF):
```
data_LiTh3Se6
_chemical_formula_sum 'Li6 Th18 Se36'
_space_group_name_H-M_alt 'R -3'
_space_group_IT_number 148
_space_group_name_Hall '-R 3'
_cell_length_a 11.9964
_cell_length_b 11.9964
_cell_length_c 14.4087
_cell_angle_alpha 90.00
_cell_angle_beta 90.00
_cell_angle_gamma 120.00
loop_
_atom_site_label
_atom_site_fract_x
_atom_site_fract_y
_atom_site_fract_z
Li1 0.0000 0.0000 0.0000
Li2 0.0000 0.0000 0.5000
Th1 0.0551 0.2771 0.1998
Se1 0.0162 0.2026 0.3936
Se2 0.0329 0.1904 0.8801
```

## Properties
N(E_F), states/eV/f.u.: 4.325
Calculated total energy, eV per cell: -364.14
Magnetization, μB per cell: 0.00
ΔE_f (raw), meV per atom: -1561


6.
First-principles (PBE-GGA) data for a geometry-optimized Zr2BAs structure, as listed in Alexandria.

Structure (CIF):
```
data_Zr2BAs
_chemical_formula_sum 'Zr8 B4 As4'
_space_group_name_H-M_alt 'F m -3 m'
_space_group_IT_number 225
_space_group_name_Hall '-F 4 2 3'
_cell_length_a 6.457
_cell_length_b 6.457
_cell_length_c 6.457
_cell_angle_alpha 90.00
_cell_angle_beta 90.00
_cell_angle_gamma 90.00
loop_
_atom_site_label
_atom_site_fract_x
_atom_site_fract_y
_atom_site_fract_z
Zr1 0.250 0.250 0.250
B1 0.000 0.000 0.000
As1 0.000 0.000 0.500
```

## Properties
N(E_F), states/eV/f.u.: 4.144
Energy relative to the lowest polymorph listed for this composition, eV/atom: 0.7397
ΔE_f, meV per atom: -120
Calculated total energy, eV per cell: -115.61
Magnetization, μB per cell: 0.00


7.
First-principles (PBE-GGA) data for a geometry-optimized Tb5Pr2NdDy structure, as listed in Alexandria.

Structure (CIF):
```
data_Tb5Pr2NdDy
_chemical_formula_sum 'Tb20 Pr8 Nd4 Dy4'
_space_group_name_H-M_alt 'I 4/m c m'
_space_group_IT_number 140
_space_group_name_Hall '-I 4 2c'
_cell_length_a 8.748
_cell_length_b 8.748
_cell_length_c 15.762
_cell_angle_alpha 90.00
_cell_angle_beta 90.00
_cell_angle_gamma 90.00
loop_
_atom_site_label
_atom_site_fract_x
_atom_site_fract_y
_atom_site_fract_z
Tb1 0.000 0.000 0.000
Tb2 0.211 0.289 0.139
Pr1 0.118 0.382 0.500
Nd1 0.000 0.000 0.250
Dy1 0.000 0.500 0.250
```

## Properties
N(E_F), states/eV/f.u.: 10.898
ΔE_f, meV per atom: 262
Calculated total energy, eV per cell: -158.88
Magnetization, μB per cell: 0.00


8.
First-principles (PBE-GGA) data for a geometry-optimized NdGdIn structure, as listed in Alexandria.

Structure (CIF):
```
data_NdGdIn
_chemical_formula_sum 'Nd1 Gd1 In1'
_space_group_name_H-M_alt 'P 3 m 1'
_space_group_IT_number 156
_space_group_name_Hall 'P 3 -2"'
_cell_length_a 5.3079
_cell_length_b 5.3079
_cell_length_c 3.6862
_cell_angle_alpha 90.00
_cell_angle_beta 90.00
_cell_angle_gamma 120.00
loop_
_atom_site_label
_atom_site_fract_x
_atom_site_fract_y
_atom_site_fract_z
Nd1 0.0000 0.0000 0.0000
Gd1 0.6667 0.3333 0.5754
In1 0.3333 0.6667 0.3248
```

## Properties
N(E_F), states/eV/f.u.: 3.196
Energy relative to the lowest polymorph listed for this composition, eV/atom: 0.0629
ΔE_f, meV per atom: -248
Calculated total energy, eV per cell: -22.33
Magnetization, μB per cell: 7.29